No. 1
ErZr2In3 PBE optimized geometry; uncorrected energy = -5.3177 eV per atom; V = 139.4 Å³ per cell
1.0
3.232 0.000 0.000
0.000 3.232 0.000
0.000 0.000 13.342
Er Zr In
1 2 3
Direct
0.000 0.000 0.000 Er
0.000 0.000 0.338 Zr
0.000 0.000 0.662 Zr
0.500 0.500 0.175 In
0.500 0.500 0.500 In
0.500 0.500 0.825 In


No. 2
Er3Zr2In3 PBE optimized geometry; uncorrected energy = -5.2011 eV per atom; V = 201.9 Å³ per cell
1.0
-2.171 2.350 9.889
2.171 -2.350 9.889
2.171 2.350 -9.889
Er Zr In
3 2 3
Direct
0.000 0.000 0.000 Er
0.374 0.874 0.500 Er
0.626 0.126 0.500 Er
0.246 0.246 0.000 Zr
0.754 0.754 0.000 Zr
0.134 0.634 0.500 In
0.500 0.500 0.000 In
0.866 0.366 0.500 In


No. 3
ErZrIn PBE optimized geometry; ΔE to the lowest computed polymorph = 0 meV per atom; V = 150.1 Å³ per cell
1.0
3.603 0.000 0.000
0.000 5.084 0.000
-1.798 0.000 8.192
Er Zr In
2 2 2
Direct
0.074 0.250 0.147 Er
0.926 0.750 0.853 Er
0.257 0.750 0.515 Zr
0.743 0.250 0.485 Zr
0.395 0.250 0.789 In
0.605 0.750 0.211 In


No. 4
Er4ZrIn PBE optimized geometry; uncorrected energy = -4.5865 eV per atom; V = 194.2 Å³ per cell
1.0
5.111 0.000 0.000
0.000 5.111 0.000
0.000 0.000 7.435
Er Zr In
4 1 1
Direct
0.000 0.500 0.244 Er
0.000 0.500 0.756 Er
0.500 0.000 0.244 Er
0.500 0.000 0.756 Er
0.000 0.000 0.000 Zr
0.500 0.500 0.500 In


No. 5
Er2ZrIn PBE optimized geometry; ΔE to the lowest computed polymorph = 3 meV per atom; V = 102.0 Å³ per cell
1.0
4.672 0.000 0.000
0.000 4.672 0.000
0.000 0.000 4.671
Er Zr In
2 1 1
Direct
0.000 0.500 0.000 Er
0.500 0.000 0.000 Er
0.000 0.000 0.500 Zr
0.500 0.500 0.500 In


No. 6
Er3ZrIn4 PBE optimized geometry; uncorrected energy = -4.5170 eV per atom; V = 397.6 Å³ per cell
1.0
10.655 0.000 0.000
0.000 6.833 0.000
0.000 0.000 5.462
Er Zr In
6 2 8
Direct
0.000 0.000 0.000 Er
0.250 0.000 0.399 Er
0.250 0.500 0.385 Er
0.500 0.000 0.000 Er
0.750 0.000 0.601 Er
0.750 0.500 0.615 Er
0.000 0.500 0.000 Zr
0.500 0.500 0.000 Zr
0.000 0.257 0.500 In
0.000 0.743 0.500 In
0.250 0.257 0.888 In
0.250 0.743 0.888 In
0.500 0.257 0.500 In
0.500 0.743 0.500 In
0.750 0.257 0.112 In
0.750 0.743 0.112 In


No. 7
ErZr2In PBE optimized geometry; ΔE to the lowest computed polymorph = 123 meV per atom; V = 97.5 Å³ per cell
1.0
3.268 0.000 0.000
0.000 3.268 0.000
0.000 0.000 9.131
Er Zr In
1 2 1
Direct
0.000 0.000 0.000 Er
0.500 0.500 0.266 Zr
0.500 0.500 0.734 Zr
0.000 0.000 0.500 In


No. 8
Er2ZrIn9 PBE optimized geometry; uncorrected energy = -3.8451 eV per atom; V = 289.1 Å³ per cell
1.0
4.584 0.000 0.000
0.000 4.584 0.000
0.000 0.000 13.756
Er Zr In
2 1 9
Direct
0.000 0.000 0.172 Er
0.000 0.000 0.828 Er
0.000 0.000 0.500 Zr
0.000 0.500 0.000 In
0.000 0.500 0.338 In
0.000 0.500 0.662 In
0.500 0.000 0.000 In
0.500 0.000 0.338 In
0.500 0.000 0.662 In
0.500 0.500 0.168 In
0.500 0.500 0.500 In
0.500 0.500 0.832 In


No. 9
ErZr12In3 PBE optimized geometry; uncorrected energy = -7.3593 eV per atom; V = 367.3 Å³ per cell
1.0
4.514 0.000 0.000
0.000 4.514 0.000
0.000 0.000 18.028
Er Zr In
1 12 3
Direct
0.000 0.000 0.000 Er
0.000 0.500 0.129 Zr
0.000 0.500 0.377 Zr
0.000 0.500 0.623 Zr
0.000 0.500 0.871 Zr
0.500 0.000 0.129 Zr
0.500 0.000 0.377 Zr
0.500 0.000 0.623 Zr
0.500 0.000 0.871 Zr
0.500 0.500 0.000 Zr
0.500 0.500 0.255 Zr
0.500 0.500 0.500 Zr
0.500 0.500 0.745 Zr
0.000 0.000 0.253 In
0.000 0.000 0.500 In
0.000 0.000 0.747 In


No. 10
ErZr2In PBE optimized geometry; ΔE to the lowest computed polymorph = 12 meV per atom; V = 95.1 Å³ per cell
1.0
4.562 0.000 0.000
0.000 4.562 0.000
0.000 0.000 4.568
Er Zr In
1 2 1
Direct
0.000 0.000 0.000 Er
0.000 0.500 0.500 Zr
0.500 0.000 0.500 Zr
0.500 0.500 0.000 In


No. 11
Er9ZrIn2 PBE optimized geometry; uncorrected energy = -4.7519 eV per atom; V = 335.8 Å³ per cell
1.0
4.794 0.000 0.000
0.000 4.794 0.000
0.000 0.000 14.610
Er Zr In
9 1 2
Direct
0.000 0.000 0.000 Er
0.000 0.000 0.335 Er
0.000 0.000 0.665 Er
0.000 0.500 0.165 Er
0.000 0.500 0.500 Er
0.000 0.500 0.835 Er
0.500 0.000 0.165 Er
0.500 0.000 0.500 Er
0.500 0.000 0.835 Er
0.500 0.500 0.000 Zr
0.500 0.500 0.336 In
0.500 0.500 0.664 In


No. 12
ErZrIn PBE optimized geometry; ΔE to the lowest computed polymorph = 294 meV per atom; V = 72.6 Å³ per cell
1.0
5.189 0.000 0.000
-2.595 4.494 0.000
0.000 0.000 3.112
Er Zr In
1 1 1
Direct
0.000 0.000 0.000 Er
0.333 0.667 0.003 Zr
0.667 0.333 0.501 In


No. 13
ErZrIn PBE optimized geometry; ΔE to the lowest computed polymorph = 142 meV per atom; V = 156.6 Å³ per cell
1.0
-1.674 1.674 13.972
1.674 -1.674 13.972
1.674 1.674 -13.972
Er Zr In
2 2 2
Direct
0.061 0.061 0.000 Er
0.939 0.939 0.000 Er
0.212 0.212 0.000 Zr
0.788 0.788 0.000 Zr
0.363 0.363 0.000 In
0.637 0.637 0.000 In